A relaxed structure of EuMgAlGa. Source: Alexandria, functional PBE.

Lattice parameters (Å, degrees): 5.0204 5.0204 5.0204 60.00 60.00 60.00
Closest atoms and distances in Å follow each position.
Fractional coordinates of all 4 atoms:
Eu: 0.0000 0.0000 0.0000  4 Al 3.07, 4 Ga 3.07
Mg: 0.5000 0.5000 0.5000  4 Al 3.07, 4 Ga 3.07
Al: 0.7500 0.7500 0.7500  4 Mg 3.07, 4 Eu 3.07
Ga: 0.2500 0.2500 0.2500  4 Mg 3.07, 4 Eu 3.07

## Properties
E_tot	-4.9302	eV per atom
space-group type	F-43m, No. 216

***

A relaxed structure of NdEuAlGa. Source: Alexandria, functional PBE.

Lattice parameters (Å, degrees): 5.2883 5.2883 5.2883 60.00 60.00 60.00
Closest atoms and distances in Å follow each position.
Fractional coordinates of all 4 atoms:
Nd: 0.0000 0.0000 0.0000  4 Al 3.24, 4 Ga 3.24
Eu: 0.5000 0.5000 0.5000  4 Al 3.24, 4 Ga 3.24
Al: 0.7500 0.7500 0.7500  4 Nd 3.24, 4 Eu 3.24
Ga: 0.2500 0.2500 0.2500  4 Nd 3.24, 4 Eu 3.24

## Properties
E_tot	-5.8184	eV per atom
space-group type	F-43m, No. 216

***

A relaxed structure of PmEuAlGa. Source: Alexandria, functional PBE.

Lattice parameters (Å, degrees): 5.2667 5.2667 5.2667 60.00 60.00 60.00
Closest atoms and distances in Å follow each position.
Fractional coordinates of all 4 atoms:
Pm: 0.0000 0.0000 0.0000  4 Ga 3.23, 4 Al 3.23
Eu: 0.5000 0.5000 0.5000  4 Ga 3.23, 4 Al 3.23
Al: 0.2500 0.2500 0.2500  4 Eu 3.23, 4 Pm 3.23
Ga: 0.7500 0.7500 0.7500  4 Eu 3.23, 4 Pm 3.23

## Properties
E_tot	-5.8189	eV per atom
space-group type	F-43m, No. 216

***

A relaxed structure of PrEuAlGa. Source: Alexandria, functional PBE.

Lattice parameters (Å, degrees): 5.3110 5.3110 5.3110 60.00 60.00 60.00
Closest atoms and distances in Å follow each position.
Fractional coordinates of all 4 atoms:
Pr: 0.0000 0.0000 0.0000  4 Al 3.25, 4 Ga 3.25
Eu: 0.5000 0.5000 0.5000  4 Al 3.25, 4 Ga 3.25
Al: 0.7500 0.7500 0.7500  4 Pr 3.25, 4 Eu 3.25
Ga: 0.2500 0.2500 0.2500  4 Pr 3.25, 4 Eu 3.25

## Properties
E_tot	-5.8170	eV per atom
space-group type	F-43m, No. 216

***

A relaxed structure of EuPuAlGa. Source: Alexandria, functional PBE.

Lattice parameters (Å, degrees): 5.1928 5.1928 5.1928 60.00 60.00 60.00
Closest atoms and distances in Å follow each position.
Fractional coordinates of all 4 atoms:
Eu: 0.0000 0.0000 0.0000  4 Al 3.18, 4 Ga 3.18
Pu: 0.5000 0.5000 0.5000  4 Al 3.18, 4 Ga 3.18
Al: 0.7500 0.7500 0.7500  4 Pu 3.18, 4 Eu 3.18
Ga: 0.2500 0.2500 0.2500  4 Pu 3.18, 4 Eu 3.18

## Properties
E_tot	-8.0347	eV per atom
space-group type	F-43m, No. 216

***

A relaxed structure of SmEuAlGa. Source: Alexandria, functional PBE.

Lattice parameters (Å, degrees): 5.2517 5.2517 5.2517 60.00 60.00 60.00
Closest atoms and distances in Å follow each position.
Fractional coordinates of all 4 atoms:
Sm: 0.0000 0.0000 0.0000  4 Al 3.22, 4 Ga 3.22
Eu: 0.5000 0.5000 0.5000  4 Al 3.22, 4 Ga 3.22
Al: 0.2500 0.2500 0.2500  4 Sm 3.22, 4 Eu 3.22
Ga: 0.7500 0.7500 0.7500  4 Sm 3.22, 4 Eu 3.22

## Properties
E_tot	-5.8122	eV per atom
space-group type	F-43m, No. 216

***

A relaxed structure of SrEuAlGa. Source: Alexandria, functional PBE.

Lattice parameters (Å, degrees): 5.4511 5.4511 5.4511 60.00 60.00 60.00
Closest atoms and distances in Å follow each position.
Fractional coordinates of all 4 atoms:
Sr: 0.0000 0.0000 0.0000  4 Al 3.34, 4 Ga 3.34
Eu: 0.5000 0.5000 0.5000  4 Al 3.34, 4 Ga 3.34
Al: 0.7500 0.7500 0.7500  4 Sr 3.34, 4 Eu 3.34
Ga: 0.2500 0.2500 0.2500  4 Sr 3.34, 4 Eu 3.34

## Properties
E_tot	-4.9465	eV per atom
space-group type	F-43m, No. 216

***

A relaxed structure of EuThAlGa. Source: Alexandria, functional PBE.

Lattice parameters (Å, degrees): 5.2572 5.2572 5.2572 60.00 60.00 60.00
Closest atoms and distances in Å follow each position.
Fractional coordinates of all 4 atoms:
Eu: 0.0000 0.0000 0.0000  4 Al 3.22, 4 Ga 3.22
Th: 0.5000 0.5000 0.5000  4 Al 3.22, 4 Ga 3.22
Al: 0.7500 0.7500 0.7500  4 Eu 3.22, 4 Th 3.22
Ga: 0.2500 0.2500 0.2500  4 Th 3.22, 4 Eu 3.22

## Properties
E_tot	-6.4072	eV per atom
space-group type	F-43m, No. 216

***

A relaxed structure of EuTmAlGa. Source: Alexandria, functional PBE.

Lattice parameters (Å, degrees): 5.1555 5.1555 5.1555 60.00 60.00 60.00
Closest atoms and distances in Å follow each position.
Fractional coordinates of all 4 atoms:
Eu: 0.0000 0.0000 0.0000  4 Al 3.16, 4 Ga 3.16
Tm: 0.5000 0.5000 0.5000  4 Al 3.16, 4 Ga 3.16
Al: 0.7500 0.7500 0.7500  4 Tm 3.16, 4 Eu 3.16
Ga: 0.2500 0.2500 0.2500  4 Tm 3.16, 4 Eu 3.16

## Properties
E_tot	-5.7513	eV per atom
space-group type	F-43m, No. 216

***

A relaxed structure of EuAlZnGa. Source: Alexandria, functional PBE.

Lattice parameters (Å, degrees): 4.8718 4.8718 4.8718 60.00 60.00 60.00
Closest atoms and distances in Å follow each position.
Fractional coordinates of all 4 atoms:
Eu: 0.0000 0.0000 0.0000  4 Zn 2.98, 4 Ga 2.98
Al: 0.5000 0.5000 0.5000  4 Ga 2.98, 4 Zn 2.98
Zn: 0.7500 0.7500 0.7500  4 Al 2.98, 4 Eu 2.98
Ga: 0.2500 0.2500 0.2500  4 Al 2.98, 4 Eu 2.98

## Properties
E_tot	-4.8460	eV per atom
space-group type	F-43m, No. 216

***

A relaxed structure of EuGdAl2. Source: Alexandria, functional PBE.

Lattice parameters (Å, degrees): 5.2338 5.2338 5.2338 60.00 60.00 60.00
Closest atoms and distances in Å follow each position.
Fractional coordinates of all 4 atoms:
Eu: 0.0000 0.0000 0.0000  8 Al 3.21
Gd: 0.5000 0.5000 0.5000  8 Al 3.21
Al: 0.2500 0.2500 0.2500  4 Gd 3.21, 4 Eu 3.21
Al: 0.7500 0.7500 0.7500  4 Gd 3.21, 4 Eu 3.21

## Properties
E_tot	-8.2473	eV per atom
space-group type	Fm-3m, No. 225
relative energy among the computed polymorphs	7.5	kJ/mol of formula units

***

A relaxed structure of Eu2GdAl. Source: Alexandria, functional PBE.

Lattice parameters (Å, degrees): 4.8323 4.8323 5.1519 90.00 90.00 90.00
Closest atoms and distances in Å follow each position.
Fractional coordinates of all 4 atoms:
Eu: 0.0000 0.5000 0.0000  4 Eu 3.42, 4 Al 3.53, 4 Gd 3.53
Eu: 0.5000 0.0000 0.0000  4 Eu 3.42, 4 Al 3.53, 4 Gd 3.53
Gd: 0.0000 0.0000 0.5000  4 Al 3.42, 8 Eu 3.53
Al: 0.5000 0.5000 0.5000  4 Gd 3.42, 8 Eu 3.53

## Properties
E_tot	-9.6492	eV per atom
space-group type	P4/mmm, No. 123
relative energy among the computed polymorphs	0.0	kJ/mol of formula units

***

A relaxed structure of Eu2GdAl. Source: Alexandria, functional PBE.

Lattice parameters (Å, degrees): 12.0503 12.0503 12.0503 17.08 17.08 17.08
Closest atoms and distances in Å follow each position.
Fractional coordinates of all 4 atoms:
Eu: 0.0969 0.0969 0.0969  3 Al 3.23, 1 Gd 3.45, 6 Eu 3.58
Eu: 0.9031 0.9031 0.9031  3 Al 3.23, 1 Gd 3.45, 6 Eu 3.58
Gd: 0.0000 0.0000 0.0000  2 Eu 3.45, 6 Gd 3.58
Al: 0.5000 0.5000 0.5000  6 Eu 3.23, 6 Al 3.58

## Properties
E_tot	-9.4080	eV per atom
space-group type	R-3m, No. 166
relative energy among the computed polymorphs	93.1	kJ/mol of formula units

***

A relaxed structure of EuGdAl2. Source: Alexandria, functional PBE.

Lattice parameters (Å, degrees): 3.6957 3.6957 7.4446 90.00 90.00 90.00
Closest atoms and distances in Å follow each position.
Fractional coordinates of all 4 atoms:
Eu: 0.0000 0.0000 0.0000  8 Al 3.27
Gd: 0.0000 0.0000 0.5000  8 Al 3.15
Al: 0.5000 0.5000 0.2644  4 Gd 3.15, 4 Eu 3.27, 1 Al 3.51
Al: 0.5000 0.5000 0.7356  4 Gd 3.15, 4 Eu 3.27, 1 Al 3.51

## Properties
E_tot	-8.2668	eV per atom
space-group type	P4/mmm, No. 123
relative energy among the computed polymorphs	0.0	kJ/mol of formula units

***

A relaxed structure of EuGdAl4. Source: Alexandria, functional PBE.

Lattice parameters (Å, degrees): 5.6453 5.6453 5.6453 60.00 60.00 60.00
Closest atoms and distances in Å follow each position.
Fractional coordinates of all 6 atoms:
Eu: 0.0000 0.0000 0.0000  12 Al 3.31, 4 Gd 3.46
Gd: 0.7500 0.7500 0.7500  12 Al 3.31, 4 Eu 3.46
Al: 0.3751 0.3751 0.3751  6 Al 2.82
Al: 0.3751 0.3751 0.8747  6 Al 2.82
Al: 0.3751 0.8747 0.3751  6 Al 2.82
Al: 0.8747 0.3751 0.3751  6 Al 2.82

## Properties
E_tot	-7.0059	eV per atom
space-group type	F-43m, No. 216

***

A relaxed structure of EuGdHoAl. Source: Alexandria, functional PBE.

Lattice parameters (Å, degrees): 5.4344 5.4344 5.4344 60.00 60.00 60.00
Closest atoms and distances in Å follow each position.
Fractional coordinates of all 4 atoms:
Eu: 0.0000 0.0000 0.0000  4 Ho 3.33, 4 Al 3.33
Gd: 0.5000 0.5000 0.5000  4 Ho 3.33, 4 Al 3.33
Ho: 0.7500 0.7500 0.7500  4 Eu 3.33, 4 Gd 3.33
Al: 0.2500 0.2500 0.2500  4 Gd 3.33, 4 Eu 3.33

## Properties
E_tot	-8.1790	eV per atom
space-group type	F-43m, No. 216

***

A relaxed structure of EuGdAlIn. Source: Alexandria, functional PBE.

Lattice parameters (Å, degrees): 5.3558 5.3558 5.3558 60.00 60.00 60.00
Closest atoms and distances in Å follow each position.
Fractional coordinates of all 4 atoms:
Eu: 0.0000 0.0000 0.0000  4 In 3.28, 4 Al 3.28
Gd: 0.5000 0.5000 0.5000  4 In 3.28, 4 Al 3.28
Al: 0.7500 0.7500 0.7500  4 Gd 3.28, 4 Eu 3.28
In: 0.2500 0.2500 0.2500  4 Gd 3.28, 4 Eu 3.28

## Properties
E_tot	-8.0689	eV per atom
space-group type	F-43m, No. 216

***

A relaxed structure of NdEuGdAl. Source: Alexandria, functional PBE.

Lattice parameters (Å, degrees): 5.4783 5.4783 5.4783 60.00 60.00 60.00
Closest atoms and distances in Å follow each position.
Fractional coordinates of all 4 atoms:
Nd: 0.0000 0.0000 0.0000  4 Eu 3.35, 4 Al 3.35
Eu: 0.7500 0.7500 0.7500  4 Gd 3.35, 4 Nd 3.35
Gd: 0.5000 0.5000 0.5000  4 Al 3.35, 4 Eu 3.35
Al: 0.2500 0.2500 0.2500  4 Gd 3.35, 4 Nd 3.35

## Properties
E_tot	-8.2714	eV per atom
space-group type	F-43m, No. 216

***

A relaxed structure of PmEuGdAl. Source: Alexandria, functional PBE.

Lattice parameters (Å, degrees): 5.4883 5.4883 5.4883 60.00 60.00 60.00
Closest atoms and distances in Å follow each position.
Fractional coordinates of all 4 atoms:
Pm: 0.0000 0.0000 0.0000  4 Al 3.36, 4 Gd 3.36
Eu: 0.5000 0.5000 0.5000  4 Gd 3.36, 4 Al 3.36
Gd: 0.2500 0.2500 0.2500  4 Eu 3.36, 4 Pm 3.36
Al: 0.7500 0.7500 0.7500  4 Eu 3.36, 4 Pm 3.36

## Properties
E_tot	-8.2216	eV per atom
space-group type	F-43m, No. 216

***

A relaxed structure of PrEuGdAl. Source: Alexandria, functional PBE.

Lattice parameters (Å, degrees): 5.5011 5.5011 5.5011 60.00 60.00 60.00
Closest atoms and distances in Å follow each position.
Fractional coordinates of all 4 atoms:
Pr: 0.0000 0.0000 0.0000  4 Al 3.37, 4 Eu 3.37
Eu: 0.2500 0.2500 0.2500  4 Gd 3.37, 4 Pr 3.37
Gd: 0.5000 0.5000 0.5000  4 Al 3.37, 4 Eu 3.37
Al: 0.7500 0.7500 0.7500  4 Gd 3.37, 4 Pr 3.37

## Properties
E_tot	-8.2706	eV per atom
space-group type	F-43m, No. 216